Entry A
Compound: Ho2RhI
Source: Alexandria via LeMat-Bulk
Functional: PBE-GGA
Structure: relaxed

## Properties
total magnetic moment: 0.00 μB/f.u.
symmetry: R-3m

Cell lengths 3.5526, 3.5526, 10.2801 Å; angles 80.05, 80.05, 60.00 degrees
Last column: nearest neighbours and their distance in Å.
Fractional coordinates of all 4 atoms:
I 0.5000 0.5000 0.5000  6 Ho 3.27, 6 I 3.55
Rh 0.0000 0.0000 0.0000  2 Ho 2.49
Ho 0.0824 0.0824 0.7527  1 Rh 2.49
Ho 0.9176 0.9176 0.2473  1 Rh 2.49



Entry B
Compound: Ho2RhI
Source: Alexandria via LeMat-Bulk
Functional: PBE-GGA
Structure: relaxed

## Properties
total magnetic moment: 0.00 μB/f.u.
symmetry: Cm

Cell lengths 4.0763, 4.0763, 8.2592 Å; angles 83.11, 83.11, 60.28 degrees
Last column: nearest neighbours and their distance in Å.
Fractional coordinates of all 4 atoms:
Ho 0.9202 0.9202 0.0895  3 Rh 2.70-2.73
Ho 0.1989 0.1989 0.4359  3 Rh 2.78
Rh 0.5618 0.5618 0.2556  6 Ho 2.70-2.78
I 0.8191 0.8191 0.7191  4 Ho 3.24-3.31



Short version: entry B, entry A, most stable first.